(1)
First-principles (PBE-GGA) data for AcNdBeN3 after structural relaxation, as listed in the Alexandria database.

Cell lengths 3.5259, 7.6146, 7.2096 Å; angles 100.06, 90.00, 90.00 degrees
Fractional coordinates of all 12 atoms:
Ac  0.2500  0.1707  0.2157
Ac  0.7500  0.8293  0.7843
Nd  0.2500  0.6474  0.1880
Nd  0.7500  0.3526  0.8120
Be  0.2500  0.0722  0.6040
Be  0.7500  0.9278  0.3960
N  0.7500  0.8834  0.1568
N  0.2500  0.1166  0.8432
N  0.2500  0.8609  0.4853
N  0.7500  0.1391  0.5147
N  0.7500  0.4086  0.1586
N  0.2500  0.5914  0.8414

Summary:
Energy ... -7.18 eV/atom
Density of states at the Fermi level ... 9.2 states/eV per cell
Raw formation energy ... -0.915 eV/atom

(2)
First-principles (PBE-GGA) data for AcNpBeN3 after structural relaxation, as listed in the Alexandria database.

Cell lengths 3.4553, 7.4077, 7.2062 Å; angles 104.16, 90.00, 90.00 degrees
Last column: magnetic moment on the atom in μB.
Fractional coordinates of all 12 atoms:
Ac  0.7500  0.8126  0.7721  0.06
Ac  0.2500  0.1874  0.2279  0.06
Np  0.2500  0.6647  0.1746  2.88
Np  0.7500  0.3353  0.8254  2.88
Be  0.2500  0.0713  0.6029  0.00
Be  0.7500  0.9287  0.3971  0.00
N  0.2500  0.8459  0.4774  -0.06
N  0.7500  0.8751  0.1529  -0.08
N  0.7500  0.4406  0.1446  -0.13
N  0.7500  0.1541  0.5226  -0.06
N  0.2500  0.5594  0.8554  -0.13
N  0.2500  0.1249  0.8471  -0.08

Summary:
Energy ... -8.71 eV/atom
Density of states at the Fermi level ... 13.6 states/eV per cell
Raw formation energy ... -1.087 eV/atom

(3)
First-principles (PBE-GGA) data for Ac3Be2OsN6 after structural relaxation, as listed in the Alexandria database.

Cell lengths 5.6471, 5.6471, 6.4729 Å; angles 90.00, 90.00, 120.00 degrees
Fractional coordinates of all 12 atoms:
Ac  0.3333  0.6667  0.6635
Ac  0.6667  0.3333  0.3365
Ac  0.0000  0.0000  0.0000
Be  0.6667  0.3333  0.7443
Be  0.3333  0.6667  0.2557
Os  0.0000  0.0000  0.5000
N  0.6589  0.8294  0.3115
N  0.1706  0.3411  0.3115
N  0.1706  0.8294  0.3115
N  0.8294  0.6589  0.6885
N  0.3411  0.1706  0.6885
N  0.8294  0.1706  0.6885

Summary:
Energy ... -7.46 eV/atom
Density of states at the Fermi level ... 4.5 states/eV per cell
Raw formation energy ... -0.709 eV/atom